# SrLuIn (PBE-GGA, relaxed)
data_SrLuIn
_cell_length_a 5.425
_cell_length_b 5.425
_cell_length_c 3.910
_cell_angle_alpha 90.00
_cell_angle_beta 90.00
_cell_angle_gamma 120.00
_symmetry_space_group_name_H-M 'P 1'
_symmetry_Int_Tables_number 1
loop_
_symmetry_equiv_pos_as_xyz
'x,y,z'
loop_
_atom_site_label
_atom_site_type_symbol
_atom_site_fract_x
_atom_site_fract_y
_atom_site_fract_z
Sr1 Sr 0.000 0.000 0.000
Lu1 Lu 0.333 0.667 0.519
In1 In 0.667 0.333 0.454
# Space-group type ... P3m1 (156)

# SrLuIn2 (PBE-GGA, relaxed)
data_SrLuIn2
_cell_length_a 3.856
_cell_length_b 3.856
_cell_length_c 7.844
_cell_angle_alpha 90.00
_cell_angle_beta 90.00
_cell_angle_gamma 90.00
_symmetry_space_group_name_H-M 'P 1'
_symmetry_Int_Tables_number 1
loop_
_symmetry_equiv_pos_as_xyz
'x,y,z'
loop_
_atom_site_label
_atom_site_type_symbol
_atom_site_fract_x
_atom_site_fract_y
_atom_site_fract_z
Sr1 Sr 0.000 0.000 0.000
Lu1 Lu 0.000 0.000 0.500
In1 In 0.500 0.500 0.282
In2 In 0.500 0.500 0.718
# Space-group type ... P4/mmm (123)

| no. | energy of formation from the pure elements (eV/atom) | magnetization (μB/cell) | DFT total energy (eV per atom) |
| --- | --- | --- | --- |
| 1 | -0.12 | 0.00 | -3.097 |
| 2 | -0.41 | 0.00 | -3.333 |